Model w:
DFT (GGA-PBE) results for AcEr2Al after structural relaxation.

Values from the calculation:
SG	R3m, No. 160
crystal system	trigonal
DOS at the Fermi energy	4.74	states/eV/f.u.

Cell: 5.0678 5.0678 6.5902 Å, 67.39 67.39 60.00°
Sites, in units of the cell vectors:
1 Ac 0.4911 0.4911 0.5267
2 Al 0.6873 0.6873 0.9382
3 Er 0.2801 0.2801 0.1598
4 Er 0.0415 0.0415 0.8754

Model x:
DFT (GGA-PBE) results for AcEr2Al after structural relaxation.

Values from the calculation:
SG	Fm-3m, No. 225
crystal system	cubic
DOS at the Fermi energy	8.11	states/eV/f.u.

Cell: 5.4811 5.4811 5.4811 Å, 60.00 60.00 60.00°
Sites, in units of the cell vectors:
1 Ac 0.0000 0.0000 0.0000
2 Er 0.2500 0.2500 0.2500
3 Er 0.7500 0.7500 0.7500
4 Al 0.5000 0.5000 0.5000

Tell me which of them is the most stable. Sure, it is model w.

Model w:
DFT (GGA-PBE) results for YC3 after structural relaxation.

Values from the calculation:
SG	Pnma, No. 62
crystal system	orthorhombic
DOS at the Fermi energy	1.52	states/eV/f.u.

Cell: 6.5912 4.9923 5.9932 Å, 90.00 90.00 90.00°
Sites, in units of the cell vectors:
1 Y 0.1932 0.7500 0.3687
2 Y 0.3068 0.2500 0.8687
3 Y 0.6932 0.7500 0.1313
4 Y 0.8068 0.2500 0.6313
5 C 0.1391 0.7500 0.9451
6 C 0.5616 0.8974 0.7437
7 C 0.0616 0.6026 0.7563
8 C 0.4384 0.1026 0.2563
9 C 0.3609 0.2500 0.4451
10 C 0.6391 0.7500 0.5549
11 C 0.9384 0.1026 0.2437
12 C 0.8609 0.2500 0.0549
13 C 0.9384 0.3974 0.2437
14 C 0.5616 0.6026 0.7437
15 C 0.4384 0.3974 0.2563
16 C 0.0616 0.8974 0.7563

Model x:
DFT (GGA-PBE) results for YC3 after structural relaxation.

Values from the calculation:
SG	Pm-3n, No. 223
crystal system	cubic
DOS at the Fermi energy	2.21	states/eV/f.u.

Cell: 4.5165 4.5165 4.5165 Å, 90.00 90.00 90.00°
Sites, in units of the cell vectors:
1 C 0.2500 0.5000 0.0000
2 C 0.5000 0.0000 0.7500
3 C 0.5000 0.0000 0.2500
4 C 0.0000 0.2500 0.5000
5 C 0.0000 0.7500 0.5000
6 C 0.7500 0.5000 0.0000
7 Y 0.5000 0.5000 0.5000
8 Y 0.0000 0.0000 0.0000

Tell me which of them is the most stable. Sure, it is model w.

Model w:
DFT (GGA-PBE) results for KFeOs2 after structural relaxation.

Values from the calculation:
SG	Pmm2, No. 25
crystal system	orthorhombic
DOS at the Fermi energy	3.81	states/eV/f.u.

Cell: 2.7396 3.8229 7.8241 Å, 90.00 90.00 90.00°
Site moments in Bohr magnetons follow the coordinates.
Sites, in units of the cell vectors:
1 Os 0.0000 0.0000 0.0994  0.23
2 Os 0.5000 0.5000 0.2355  0.08
3 K 0.5000 0.5000 0.7525  0.00
4 Fe 0.0000 0.0000 0.4126  2.88

Model x:
DFT (GGA-PBE) results for KFeOs2 after structural relaxation.

Values from the calculation:
SG	Cm, No. 8
crystal system	monoclinic
DOS at the Fermi energy	3.69	states/eV/f.u.

Cell: 4.6272 4.6272 6.9635 Å, 85.05 85.05 34.12°
Site moments in Bohr magnetons follow the coordinates.
Sites, in units of the cell vectors:
1 Os 0.2435 0.2435 0.2325  0.11
2 Os 0.9812 0.9812 0.1148  0.01
3 Fe 0.5242 0.5242 0.4050  2.62
4 K 0.7511 0.7511 0.7477  0.00

Tell me which of them is the most stable. Sure, it is model w.

Model w:
DFT (GGA-PBE) results for B5C7 after structural relaxation.

Values from the calculation:
SG	Cm, No. 8
crystal system	monoclinic
DOS at the Fermi energy	3.41	states/eV/f.u.

Cell: 4.6104 4.6104 7.8066 Å, 115.89 115.89 32.40°
Sites, in units of the cell vectors:
1 C 0.6644 0.6644 0.8325
2 C 0.9942 0.9942 0.5240
3 C 0.1584 0.1584 0.7129
4 C 0.8335 0.8335 0.0310
5 C 0.5117 0.5117 0.8763
6 C 0.3365 0.3365 0.1406
7 C 0.8355 0.8355 0.5447
8 B 0.6670 0.6670 0.3497
9 B 0.9822 0.9822 0.9627
10 B 0.2045 0.2045 0.2187
11 B 0.4821 0.4821 0.3758
12 B 0.3300 0.3300 0.6812

Model x:
DFT (GGA-PBE) results for B5C7 after structural relaxation.

Values from the calculation:
SG	Cm, No. 8
crystal system	monoclinic
DOS at the Fermi energy	1.26	states/eV/f.u.

Cell: 6.1360 6.1360 5.1918 Å, 100.14 100.14 24.51°
Sites, in units of the cell vectors:
1 B 0.8974 0.8974 0.6451
2 B 0.9211 0.9211 0.2436
3 B 0.3280 0.3280 0.1222
4 B 0.0226 0.0226 0.0466
5 B 0.2432 0.2432 0.3905
6 C 0.3275 0.3275 0.6642
7 C 0.5928 0.5928 0.0449
8 C 0.2420 0.2420 0.8587
9 C 0.5856 0.5856 0.5526
10 C 0.0111 0.0111 0.5239
11 C 0.6666 0.6666 0.8276
12 C 0.6623 0.6623 0.3302

Tell me which of them is the most stable. Sure, it is model x.

Model w:
DFT (GGA-PBE) results for ZrScCu2 after structural relaxation.

Values from the calculation:
SG	Imm2, No. 44
crystal system	orthorhombic
DOS at the Fermi energy	5.70	states/eV/f.u.

Cell: 5.6065 5.6065 5.6065 Å, 146.99 132.76 58.83°
Sites, in units of the cell vectors:
1 Sc 0.5110 0.5110 0.0000
2 Zr 0.2337 0.7337 0.5000
3 Cu 0.9756 0.9756 0.0000
4 Cu 0.7797 0.2797 0.5000

Model x:
DFT (GGA-PBE) results for ZrScCu2 after structural relaxation.

Values from the calculation:
SG	C2/m, No. 12
crystal system	monoclinic
DOS at the Fermi energy	3.61	states/eV/f.u.

Cell: 4.5319 4.5319 5.9201 Å, 81.31 81.31 37.43°
Sites, in units of the cell vectors:
1 Sc 0.7500 0.7500 0.7500
2 Zr 0.2500 0.2500 0.2500
3 Cu 0.4995 0.4995 0.5183
4 Cu 0.0005 0.0005 0.9817

Tell me which of them is the most stable. Sure, it is model w.

Model w:
DFT (GGA-PBE) results for PrDy3Cd2 after structural relaxation.

Values from the calculation:
SG	C2/m, No. 12
crystal system	monoclinic
DOS at the Fermi energy	5.87	states/eV/f.u.

Cell: 5.4813 9.4038 8.9749 Å, 125.61 90.00 106.94°
Sites, in units of the cell vectors:
1 Dy 0.6174 0.2349 0.6925
2 Dy 0.6926 0.3852 0.3902
3 Dy 0.9391 0.8782 0.5997
4 Dy 0.3074 0.6148 0.6098
5 Dy 0.0609 0.1218 0.4003
6 Dy 0.3826 0.7651 0.3075
7 Cd 0.7692 0.5384 0.1409
8 Cd 0.2308 0.4616 0.8591
9 Cd 0.4804 0.9608 0.1306
10 Cd 0.5196 0.0392 0.8694
11 Pr 0.1355 0.2710 0.0872
12 Pr 0.8645 0.7290 0.9128

Model x:
DFT (GGA-PBE) results for PrDy3Cd2 after structural relaxation.

Values from the calculation:
SG	P4/mmm, No. 123
crystal system	tetragonal
DOS at the Fermi energy	6.98	states/eV/f.u.

Cell: 3.6923 3.6923 12.6968 Å, 90.00 90.00 90.00°
Sites, in units of the cell vectors:
1 Pr 0.5000 0.5000 0.5000
2 Cd 0.5000 0.5000 0.1500
3 Cd 0.5000 0.5000 0.8500
4 Dy 0.0000 0.0000 0.0000
5 Dy 0.0000 0.0000 0.3005
6 Dy 0.0000 0.0000 0.6995

Tell me which of them is the most stable. Sure, it is model x.

Model w:
DFT (GGA-PBE) results for Ta2MoCl after structural relaxation.

Values from the calculation:
SG	P2/m, No. 10
crystal system	monoclinic
DOS at the Fermi energy	3.15	states/eV/f.u.

Cell: 4.4478 2.8644 5.4916 Å, 88.59 90.00 90.00°
Sites, in units of the cell vectors:
1 Mo 0.5000 0.7500 0.7500
2 Ta 0.0000 0.1004 0.9892
3 Ta 0.0000 0.3996 0.5108
4 Cl 0.5000 0.2500 0.2500

Model x:
DFT (GGA-PBE) results for Ta2MoCl after structural relaxation.

Values from the calculation:
SG	Cmm2, No. 35
crystal system	orthorhombic
DOS at the Fermi energy	1.46	states/eV/f.u.

Cell: 2.9247 2.9247 9.9533 Å, 90.00 90.00 112.69°
Sites, in units of the cell vectors:
1 Mo 0.5000 0.5000 0.8019
2 Cl 0.0000 0.0000 0.4420
3 Ta 0.0000 0.0000 0.0096
4 Ta 0.5000 0.5000 0.2465

Tell me which of them is the most stable. Sure, it is model x.

Model w:
DFT (GGA-PBE) results for ZrIr2Os after structural relaxation.

Values from the calculation:
SG	R-3m, No. 166
crystal system	trigonal
DOS at the Fermi energy	5.88	states/eV/f.u.

Cell: 9.4584 9.4584 9.4584 Å, 17.10 17.10 17.10°
Sites, in units of the cell vectors:
1 Zr 0.7500 0.7500 0.7500
2 Ir 0.9943 0.9943 0.9943
3 Ir 0.5057 0.5057 0.5057
4 Os 0.2500 0.2500 0.2500

Model x:
DFT (GGA-PBE) results for ZrIr2Os after structural relaxation.

Values from the calculation:
SG	Fm-3m, No. 225
crystal system	cubic
DOS at the Fermi energy	7.15	states/eV/f.u.

Cell: 4.5380 4.5380 4.5380 Å, 60.00 60.00 60.00°
Site moments in Bohr magnetons follow the coordinates.
Sites, in units of the cell vectors:
1 Ir 0.7500 0.7500 0.7500  0.56
2 Ir 0.2500 0.2500 0.2500  0.56
3 Os 0.5000 0.5000 0.5000  1.03
4 Zr 0.0000 0.0000 0.0000  0.00

Tell me which of them is the most stable. Sure, it is model w.

Model w:
DFT (GGA-PBE) results for CrCo2Ru after structural relaxation.

Values from the calculation:
SG	Pmm2, No. 25
crystal system	orthorhombic
DOS at the Fermi energy	5.75	states/eV/f.u.

Cell: 2.5751 3.5559 5.1517 Å, 90.00 90.00 90.00°
Site moments in Bohr magnetons follow the coordinates.
Sites, in units of the cell vectors:
1 Cr 0.0000 0.0000 0.4842  -0.62
2 Ru 0.5000 0.5000 0.7506  0.17
3 Co 0.5000 0.5000 0.2448  0.93
4 Co 0.0000 0.0000 0.0204  1.19

Model x:
DFT (GGA-PBE) results for CrCo2Ru after structural relaxation.

Values from the calculation:
SG	R3m, No. 160
crystal system	trigonal
DOS at the Fermi energy	4.83	states/eV/f.u.

Cell: 8.4492 8.4492 8.4492 Å, 17.63 17.63 17.63°
Site moments in Bohr magnetons follow the coordinates.
Sites, in units of the cell vectors:
1 Co 0.0041 0.0041 0.0041  1.64
2 Co 0.7492 0.7492 0.7492  1.37
3 Cr 0.4986 0.4986 0.4986  -0.07
4 Ru 0.2481 0.2481 0.2481  0.12

Tell me which of them is the most stable. Sure, it is model w.

Model w:
DFT (GGA-PBE) results for Ca3W after structural relaxation.

Values from the calculation:
SG	Pmm2, No. 25
crystal system	orthorhombic
DOS at the Fermi energy	5.81	states/eV/f.u.

Cell: 3.1593 5.4320 6.3681 Å, 90.00 90.00 90.00°
Sites, in units of the cell vectors:
1 Ca 0.0000 0.0000 0.0521
2 Ca 0.5000 0.5000 0.7990
3 Ca 0.5000 0.0000 0.4991
4 W 0.0000 0.5000 0.3164

Model x:
DFT (GGA-PBE) results for Ca3W after structural relaxation.

Values from the calculation:
SG	P-6m2, No. 187
crystal system	hexagonal
DOS at the Fermi energy	3.42	states/eV/f.u.

Cell: 3.3656 3.3656 11.5843 Å, 90.00 90.00 120.00°
Sites, in units of the cell vectors:
1 Ca 0.6667 0.3333 0.2500
2 Ca 0.0000 0.0000 0.9616
3 Ca 0.0000 0.0000 0.5384
4 W 0.6667 0.3333 0.7500

Tell me which of them is the most stable. Sure, it is model x.